[1]
Below is a relaxed Mn2VTcN crystal, with properties calculated at the PBE-GGA level.

N(E_F) (states/eV per cell): 4.8
Formation energy without anion corrections (eV/atom): -0.27

a = 3.7574 Å, b = 3.7574 Å, c = 3.9218 Å
α = 90.00°, β = 90.00°, γ = 90.00°
Space group P4/mmm (No. 123)
Asymmetric unit:
1 Mn 0.0000 0.5000 0.0000 [2 per cell]
2 V 0.0000 0.0000 0.5000 [1 per cell]
3 Tc 0.5000 0.5000 0.5000 [1 per cell]
4 N 0.0000 0.0000 0.0000 [1 per cell]


[2]
Below is a relaxed MnTcW2N crystal, with properties calculated at the PBE-GGA level.

N(E_F) (states/eV per cell): 3.9
Formation energy without anion corrections (eV/atom): -0.05

a = 4.1137 Å, b = 4.1137 Å, c = 3.8346 Å
α = 90.00°, β = 90.00°, γ = 90.00°
Space group P4/mmm (No. 123)
Asymmetric unit:
1 Mn 0.0000 0.0000 0.0000 [1 per cell]
2 Tc 0.5000 0.5000 0.0000 [1 per cell]
3 W 0.0000 0.5000 0.5000 [2 per cell]
4 N 0.0000 0.0000 0.5000 [1 per cell]


[3]
Below is a relaxed Mn2TcWN crystal, with properties calculated at the PBE-GGA level.

N(E_F) (states/eV per cell): 5.3
Formation energy without anion corrections (eV/atom): -0.06
Offset from the most stable computed form (meV/atom): 0

a = 3.8087 Å, b = 3.8087 Å, c = 4.0635 Å
α = 90.00°, β = 90.00°, γ = 90.00°
Space group P4/mmm (No. 123)
Asymmetric unit:
1 Mn 0.0000 0.5000 0.0000 [2 per cell]
2 Tc 0.0000 0.0000 0.5000 [1 per cell]
3 W 0.5000 0.5000 0.5000 [1 per cell]
4 N 0.5000 0.5000 0.0000 [1 per cell]


[4]
Below is a relaxed Mn2TcWN crystal, with properties calculated at the PBE-GGA level.

N(E_F) (states/eV per cell): 3.0
Formation energy without anion corrections (eV/atom): -0.04
Offset from the most stable computed form (meV/atom): 24

a = 3.8189 Å, b = 3.8189 Å, c = 4.0044 Å
α = 90.00°, β = 90.00°, γ = 90.00°
Space group P4/mmm (No. 123)
Asymmetric unit:
1 Mn 0.0000 0.5000 0.0000 [2 per cell]
2 Tc 0.0000 0.0000 0.5000 [1 per cell]
3 W 0.5000 0.5000 0.5000 [1 per cell]
4 N 0.0000 0.0000 0.0000 [1 per cell]


[5]
Below is a relaxed MnTe2N2 crystal, with properties calculated at the PBE-GGA level.

N(E_F) (states/eV per cell): 2.3
Formation energy without anion corrections (eV/atom): 1.47
Offset from the most stable computed form (meV/atom): 450

a = 4.6412 Å, b = 4.6412 Å, c = 3.8936 Å
α = 90.00°, β = 90.00°, γ = 90.00°
Space group P4/mmm (No. 123)
Asymmetric unit:
1 Mn 0.0000 0.0000 0.0000 [1 per cell]
2 Te 0.0000 0.5000 0.5000 [2 per cell]
3 N 0.5000 0.5000 0.0000 [1 per cell]
4 N 0.5000 0.5000 0.5000 [1 per cell]


[6]
Below is a relaxed MnTe2N crystal, with properties calculated at the PBE-GGA level.

N(E_F) (states/eV per cell): 11.4
Formation energy without anion corrections (eV/atom): 0.75

a = 5.6187 Å, b = 5.6187 Å, c = 12.2330 Å
α = 90.00°, β = 90.00°, γ = 90.00°
Space group I-42d (No. 122)
Asymmetric unit:
1 Mn 0.0000 0.0000 0.0000 [4 per cell]
2 Te 0.1935 0.2500 0.6250 [8 per cell]
3 N 0.0000 0.0000 0.5000 [4 per cell]


[7]
Below is a relaxed MnTe2N2 crystal, with properties calculated at the PBE-GGA level.

N(E_F) (states/eV per cell): 2.1
Formation energy without anion corrections (eV/atom): 1.34
Offset from the most stable computed form (meV/atom): 325

a = 4.0007 Å, b = 4.0007 Å, c = 6.6531 Å
α = 90.00°, β = 90.00°, γ = 90.00°
Space group P4/mmm (No. 123)
Asymmetric unit:
1 Mn 0.0000 0.0000 0.0000 [1 per cell]
2 Te 0.5000 0.5000 0.0000 [1 per cell]
3 Te 0.5000 0.5000 0.5000 [1 per cell]
4 N 0.0000 0.5000 0.5000 [2 per cell]


[8]
Below is a relaxed MnTeN3 crystal, with properties calculated at the PBE-GGA level.

N(E_F) (states/eV per cell): 2.8
Formation energy without anion corrections (eV/atom): 1.57

a = 3.9521 Å, b = 3.9521 Å, c = 3.9521 Å
α = 90.00°, β = 90.00°, γ = 90.00°
Space group Pm-3m (No. 221)
Asymmetric unit:
1 Mn 0.0000 0.0000 0.0000 [1 per cell]
2 Te 0.5000 0.5000 0.5000 [1 per cell]
3 N 0.0000 0.5000 0.5000 [3 per cell]


[9]
Below is a relaxed MnTe2N crystal, with properties calculated at the PBE-GGA level.

N(E_F) (states/eV per cell): 6.8
Formation energy without anion corrections (eV/atom): 1.14

a = 3.3161 Å, b = 3.3161 Å, c = 25.7189 Å
α = 90.00°, β = 90.00°, γ = 120.00°
Space group R-3m (No. 166, hexagonal axes)
Asymmetric unit:
1 Mn 0.0000 0.0000 0.0000 [3 per cell]
2 Te 0.0000 0.0000 0.1034 [6 per cell]
3 N 0.0000 0.0000 0.5000 [3 per cell]


[10]
Below is a relaxed MnTe2N2 crystal, with properties calculated at the PBE-GGA level.

N(E_F) (states/eV per cell): 2.4
Formation energy without anion corrections (eV/atom): 1.09
Offset from the most stable computed form (meV/atom): 71

a = 4.9873 Å, b = 4.9873 Å, c = 3.4150 Å
α = 90.00°, β = 90.00°, γ = 90.00°
Space group P4/mmm (No. 123)
Asymmetric unit:
1 Mn 0.0000 0.0000 0.0000 [1 per cell]
2 Te 0.0000 0.5000 0.0000 [2 per cell]
3 N 0.0000 0.0000 0.5000 [1 per cell]
4 N 0.5000 0.5000 0.5000 [1 per cell]


[11]
Below is a relaxed Mn2TeN crystal, with properties calculated at the PBE-GGA level.

N(E_F) (states/eV per cell): 17.7
Formation energy without anion corrections (eV/atom): 1.06
Offset from the most stable computed form (meV/atom): 1099

a = 5.8446 Å, b = 5.8446 Å, c = 5.8446 Å
α = 90.00°, β = 90.00°, γ = 90.00°
Space group Fm-3m (No. 225)
Asymmetric unit:
1 Mn 0.2500 0.2500 0.2500 [8 per cell]
2 Te 0.0000 0.0000 0.0000 [4 per cell]
3 N 0.0000 0.0000 0.5000 [4 per cell]


[12]
Below is a relaxed Mn2TeN crystal, with properties calculated at the PBE-GGA level.

N(E_F) (states/eV per cell): 10.5
Formation energy without anion corrections (eV/atom): -0.04
Offset from the most stable computed form (meV/atom): 0

a = 4.9000 Å, b = 4.9000 Å, c = 11.0630 Å
α = 90.00°, β = 90.00°, γ = 90.00°
Space group I-42d (No. 122)
Asymmetric unit:
1 Mn 0.1014 0.2500 0.1250 [8 per cell]
2 Te 0.0000 0.0000 0.5000 [4 per cell]
3 N 0.0000 0.0000 0.0000 [4 per cell]


[13]
Below is a relaxed MnTe2N2 crystal, with properties calculated at the PBE-GGA level.

N(E_F) (states/eV per cell): 4.4
Formation energy without anion corrections (eV/atom): 1.02
Offset from the most stable computed form (meV/atom): 0

a = 3.8997 Å, b = 3.8997 Å, c = 5.6143 Å
α = 90.00°, β = 90.00°, γ = 90.00°
Space group P4/mmm (No. 123)
Asymmetric unit:
1 Mn 0.0000 0.0000 0.0000 [1 per cell]
2 Te 0.0000 0.0000 0.5000 [1 per cell]
3 Te 0.5000 0.5000 0.5000 [1 per cell]
4 N 0.0000 0.5000 0.0000 [2 per cell]